(1)
Entry from the Alexandria database: CsMo2Os after structural relaxation (PBE).

Geometry as POSCAR:
```
CsMo2Os
1.0
0.000 3.307 3.307
3.307 0.000 3.307
3.307 3.307 0.000
Cs Mo Os
1 2 1
Cartesian
0.000 0.000 0.000 Cs
1.654 1.654 1.654 Mo
4.961 4.961 4.961 Mo
3.307 3.307 3.307 Os
```

Formation energy   1.756 eV/atom

---

(2)
Entry from the Alexandria database: TaCrIn2 after structural relaxation (PBE).

Geometry as POSCAR:
```
TaCrIn2
1.0
2.995 0.000 0.000
0.000 2.995 0.000
0.000 0.000 8.587
Ta Cr In
1 1 2
Cartesian
0.000 0.000 0.000 Ta
0.000 0.000 4.293 Cr
1.498 1.498 2.229 In
1.498 1.498 6.358 In
```

ΔE to the lowest computed polymorph   24 meV/atom
Formation energy   0.322 eV/atom

---

(3)
Entry from the Alexandria database: La3NiI3 after structural relaxation (PBE).

Geometry as POSCAR:
```
La3NiI3
1.0
9.390 0.000 0.000
0.000 4.565 0.000
-0.719 0.000 12.119
La Ni I
6 2 6
Cartesian
0.677 1.141 4.917 La
0.462 1.141 10.046 La
2.576 3.424 7.506 La
6.095 1.141 4.613 La
8.209 3.424 2.072 La
7.994 3.424 7.202 La
0.635 1.141 7.545 Ni
8.036 3.424 4.573 Ni
1.146 1.141 1.478 I
2.742 3.424 10.738 I
3.437 3.424 4.326 I
5.234 1.141 7.793 I
5.929 1.141 1.381 I
7.525 3.424 10.641 I
```

Energy relative to the elements, uncorrected   -1.034 eV/atom